# CaCe2Zn2Sn2 PBE-GGA relaxed
# Energy relative to the elements in eV/atom: -0.322
# DOS(E_F) in states/eV/cell: 11.367
# E_tot in eV per atom: -3.8112
# Size of the total moment in μB per cell: 2.70
data_CaCe2Zn2Sn2
_chemical_formula_sum 'Ca1 Ce2 Zn2 Sn2'
_symmetry_space_group_name_H-M 'P 1'
_symmetry_Int_Tables_number 1
_cell_length_a 4.562
_cell_length_b 4.562
_cell_length_c 10.043
_cell_angle_alpha 76.87
_cell_angle_beta 76.87
_cell_angle_gamma 60.00
loop_
_symmetry_equiv_pos_as_xyz
'x,y,z'
loop_
_atom_site_label
_atom_site_type_symbol
_atom_site_fract_x
_atom_site_fract_y
_atom_site_fract_z
_atom_site_occupancy
Ca1 Ca 0.000 0.000 0.000 1
Ce1 Ce 0.144 0.144 0.569 1
Ce2 Ce 0.856 0.856 0.431 1
Zn1 Zn 0.577 0.577 0.270 1
Zn2 Zn 0.423 0.423 0.730 1
Sn1 Sn 0.734 0.734 0.797 1
Sn2 Sn 0.266 0.266 0.203 1